Computed, not measured: a relaxed structure of Fe9Cu4Pt11 at the PBE level of DFT.

abc: 15.202 16.185 2.730
angles: 90.00 90.00 90.00
Space group Cmmm (No. 65)
One atom of each set of equivalent atoms:
1 Fe 0.000 0.000 0.000 [2 per cell]
2 Fe 0.121 0.416 0.000 [8 per cell]
3 Fe 0.123 0.243 0.000 [8 per cell]
4 Cu 0.136 0.082 0.000 [8 per cell]
5 Pt 0.000 0.148 0.500 [4 per cell]
6 Pt 0.000 0.327 0.500 [4 per cell]
7 Pt 0.000 0.500 0.500 [2 per cell]
8 Pt 0.241 0.500 0.500 [4 per cell]
9 Pt 0.242 0.332 0.500 [8 per cell]

energy of formation from the pure elements: -402 kJ/mol of formula units

Computed, not measured: a relaxed structure of MgNp2Cl8 at the PBE level of DFT.

abc: 14.413 8.214 7.023
angles: 90.00 113.20 90.00
Space group C2/m (No. 12)
One atom of each set of equivalent atoms:
1 Mg 0.000 0.000 0.000 [2 per cell]
2 Np 0.124 0.000 0.567 [4 per cell]
3 Cl 0.027 0.204 0.751 [8 per cell]
4 Cl 0.180 0.000 0.240 [4 per cell]
5 Cl 0.192 0.500 0.190 [4 per cell]

formation energy from raw total energies: -17.552 eV per formula unit

Computed, not measured: a relaxed structure of Tm2ZrRh3 at the PBE level of DFT.

abc: 4.7380 4.7380 11.6431
angles: 90.00 90.00 120.00
Space group P-3m1 (No. 164)
One atom of each set of equivalent atoms:
1 Tm 0.0000 0.0000 0.0000 [1 per cell]
2 Tm 0.0000 0.0000 0.5000 [1 per cell]
3 Tm 0.3333 0.6667 0.1669 [2 per cell]
4 Zr 0.3333 0.6667 0.6660 [2 per cell]
5 Rh 0.0000 0.0000 0.2569 [2 per cell]
6 Rh 0.3333 0.6667 0.4158 [2 per cell]
7 Rh 0.3333 0.6667 0.9080 [2 per cell]

energy of formation from the pure elements: -519 kJ/mol of formula units
energy relative to the lowest polymorph listed for this composition: 10.7 meV per atom

Computed, not measured: a relaxed structure of Dy3ThGe3 at the PBE level of DFT.

abc: 8.8396 8.8396 5.2087
angles: 90.00 90.00 120.00
Space group P6_3/m (No. 176)
One atom of each set of equivalent atoms:
1 Dy 0.0073 0.7490 0.2500 [6 per cell]
2 Th 0.3333 0.6667 0.7500 [2 per cell]
3 Ge 0.0651 0.4389 0.2500 [6 per cell]

energy of formation from the pure elements: -375 kJ/mol of formula units

Computed, not measured: a relaxed structure of EuHoIn at the PBE level of DFT.

abc: 5.3823 5.3823 3.6192
angles: 90.00 90.00 120.00
Space group P3m1 (No. 156)
One atom of each set of equivalent atoms:
1 Eu 0.0000 0.0000 0.0000 [1 per cell]
2 Ho 0.3333 0.6667 0.5750 [1 per cell]
3 In 0.6667 0.3333 0.3656 [1 per cell]

energy of formation from the pure elements: -61 kJ/mol of formula units
energy relative to the lowest polymorph listed for this composition: 40.0 meV per atom

Computed, not measured: a relaxed structure of Fe2SiPt at the PBE level of DFT.

abc: 3.803 3.803 7.003
angles: 90.00 90.00 90.00
Space group I-4m2 (No. 119)
One atom of each set of equivalent atoms:
1 Fe 0.000 0.000 0.000 [2 per cell]
2 Fe 0.000 0.500 0.250 [2 per cell]
3 Si 0.000 0.500 0.750 [2 per cell]
4 Pt 0.000 0.000 0.500 [2 per cell]

formation energy from raw total energies: -1.135 eV per formula unit